(1)
This record from Alexandria describes Cs2SClF6 after structural relaxation. The functional is PBE-GGA.

Values from the calculation:
As for the crystal system: trigonal. Its energy relative to the elements, uncorrected is -19.0 eV per formula unit.

abc: 5.9669 5.9669 48.3371
angles: 90.00 90.00 120.00
Closest atoms and distances in Å follow each position.
Space group R-3m (No. 166, hexagonal axes)
One atom of each set of equivalent atoms:
Cs (0.0000, 0.0000, 0.1334) x6  9 F 3.04-3.28
Cs (0.0000, 0.0000, 0.2558) x6  3 Cl 3.45, 3 F 3.76
S (0.0000, 0.0000, 0.0000) x3  6 F 1.60
S (0.0000, 0.0000, 0.5000) x3  6 F 1.88
Cl (0.0000, 0.0000, 0.4074) x6  6 F 3.41-3.75, 3 Cs 3.45
F (0.0331, 0.5165, 0.1447) x18  1 S 1.88
F (0.0800, 0.5400, 0.6858) x18  1 S 1.60

=====

(2)
This record from Alexandria describes Co2As2Pd after structural relaxation. The functional is PBE-GGA.

Values from the calculation:
As for the crystal system: tetragonal. As for the offset from the most stable computed form: 5.90 kcal/mol of atoms.

abc: 3.8023 3.8023 10.1694
angles: 90.00 90.00 90.00
Closest atoms and distances in Å follow each position.
Space group I4/mmm (No. 139)
One atom of each set of equivalent atoms:
Co (0.0000, 0.0000, 0.1151) x4  1 Co 2.34, 4 As 2.34
As (0.0000, 0.5000, 0.2500) x4  4 Co 2.34
Pd (0.0000, 0.0000, 0.5000) x2  8 Co 2.93, 8 As 3.17

=====

Uncorrected energy (computed, eV/atom): -3.791 -5.592
V (computed, Å³/cell): 1490.4 147.0
Magnetic moment (computed, Bohr magnetons per cell): 0.639 0.642